DFT (PBE) results for crystalline Sm6AsP3Se2 at its relaxed geometry.

Cell and atoms, written as extended XYZ:
```
12
Lattice="-3.3263 2.2474 1.0078 -2.5113 -6.0298 5.1576 6.8302 4.1772 4.7291" Properties=species:S:1:pos:R:3 pbc="T T T"
Sm 1.1029 -2.0707 8.2579
Sm -1.4851 -0.7454 5.2596
Sm -0.1104 2.4656 2.6365
Sm 2.8378 4.8699 7.0054
Sm -1.8452 -4.4750 3.8891
Sm 2.4776 1.1402 5.6349
As -1.6631 1.1237 0.5039
P -2.9188 -1.8912 3.0827
P 1.3550 3.6445 4.8440
P -0.3624 -3.2496 6.0505
Se 0.1015 0.6411 7.4046
Se 0.8910 -0.2462 3.4899
```

Values from the calculation:
Uncorrected formation energy in eV/atom: -1.721